Entry 1:
A relaxed structure of CaLa2Ag. Source: the Alexandria database, functional PBE.

```
CaLa2Ag
1.0
3.9478 0.0000 0.0000
0.0000 3.9478 0.0000
0.0000 0.0000 8.6650
Ca La Ag
1 2 1
direct
0.0000 0.0000 0.0000
0.5000 0.5000 0.3017
0.5000 0.5000 0.6983
0.0000 0.0000 0.5000
```

Energy above the lowest structure with this stoichiometry, meV per atom: 25
SG: P4/mmm (123)
Energy of formation from the pure elements, eV per atom: -0.067


Entry 2:
A relaxed structure of Zn2CuBiAu. Source: the Alexandria database, functional PBE.

```
Zn2CuBiAu
1.0
5.4394 0.0000 0.0000
0.0000 5.4394 0.0000
0.0000 0.0000 4.9479
Zn Cu Bi Au
2 1 1 1
direct
0.0000 0.5000 0.0000
0.5000 0.0000 0.0000
0.0000 0.0000 0.5000
0.0000 0.0000 0.0000
0.5000 0.5000 0.5000
```

Energy above the lowest structure with this stoichiometry, meV per atom: 477
SG: P4/mmm (123)
Energy of formation from the pure elements, eV per atom: 0.729


Entry 3:
A relaxed structure of VH2AuN. Source: the Alexandria database, functional PBE.

```
VH2AuN
1.0
3.2846 0.0000 0.0000
-0.0127 3.2896 0.0000
-0.6471 -0.9568 5.4907
V H Au N
1 2 1 1
direct
0.0000 0.0000 0.0000
0.4878 0.8847 0.9030
0.5799 0.1175 0.2039
0.8316 0.2543 0.4826
0.9812 0.4332 0.8565
```

Energy above the lowest structure with this stoichiometry, meV per atom: 360
SG: P1 (1)


Entry 4:
A relaxed structure of PmZn2Ag. Source: the Alexandria database, functional PBE.

```
PmZn2Ag
1.0
2.3381 -5.0990 0.0000
2.3381 5.0990 0.0000
0.0000 0.0000 6.8019
Pm Zn Ag
2 4 2
direct
0.0951 0.9049 0.7500
0.9049 0.0951 0.2500
0.3803 0.6197 0.5615
0.3803 0.6197 0.9385
0.6197 0.3803 0.0615
0.6197 0.3803 0.4385
0.2034 0.7966 0.2500
0.7966 0.2034 0.7500
```

Energy above the lowest structure with this stoichiometry, meV per atom: 0
SG: Cmcm (63)
Energy of formation from the pure elements, eV per atom: -0.302